[1]
# Sm2AgRh | the Alexandria database | GGA-PBE | optimized geometry
# - N(E_F) (states/eV per atom) = 0.876
# - ΔE_f (eV/atom) = -0.51
data_Sm2AgRh
_symmetry_space_group_name_H-M 'P 4/m m m'
_symmetry_Int_Tables_number 123
_symmetry_space_group_name_Hall '-P 4 2'
_cell_length_a 3.5777
_cell_length_b 3.5777
_cell_length_c 7.3295
_cell_angle_alpha 90.00
_cell_angle_beta 90.00
_cell_angle_gamma 90.00
loop_
_atom_site_label
_atom_site_type_symbol
_atom_site_fract_x
_atom_site_fract_y
_atom_site_fract_z
_atom_site_occupancy
Sm1 Sm 0.0000 0.0000 0.2292 1
Ag1 Ag 0.5000 0.5000 0.5000 1
Rh1 Rh 0.5000 0.5000 0.0000 1

[2]
# Pa2TaSiN6 | the Alexandria database | GGA-PBE | optimized geometry
# - N(E_F) (states/eV per atom) = 0.559
# - E_form (uncorrected) (eV/atom) = -1.12
data_Pa2TaSiN6
_symmetry_space_group_name_H-M 'P 4 m m'
_symmetry_Int_Tables_number 99
_symmetry_space_group_name_Hall 'P 4 -2'
_cell_length_a 5.2032
_cell_length_b 5.2032
_cell_length_c 4.7308
_cell_angle_alpha 90.00
_cell_angle_beta 90.00
_cell_angle_gamma 90.00
loop_
_atom_site_label
_atom_site_type_symbol
_atom_site_fract_x
_atom_site_fract_y
_atom_site_fract_z
_atom_site_occupancy
Pa1 Pa 0.0000 0.5000 0.0000 1
Ta1 Ta 0.0000 0.0000 0.5627 1
Si1 Si 0.5000 0.5000 0.5731 1
N1 N 0.0000 0.0000 0.1568 1
N2 N 0.2612 0.2612 0.7027 1
N3 N 0.5000 0.5000 0.2029 1

[3]
# NdZrPdRh | the Alexandria database | GGA-PBE | optimized geometry
# - N(E_F) (states/eV per atom) = 1.291
# - ΔE_f (eV/atom) = -0.57
data_NdZrPdRh
_symmetry_space_group_name_H-M 'F -4 3 m'
_symmetry_Int_Tables_number 216
_symmetry_space_group_name_Hall 'F -4 2 3'
_cell_length_a 6.8999
_cell_length_b 6.8999
_cell_length_c 6.8999
_cell_angle_alpha 90.00
_cell_angle_beta 90.00
_cell_angle_gamma 90.00
loop_
_atom_site_label
_atom_site_type_symbol
_atom_site_fract_x
_atom_site_fract_y
_atom_site_fract_z
_atom_site_occupancy
Nd1 Nd 0.0000 0.0000 0.0000 1
Zr1 Zr 0.0000 0.0000 0.5000 1
Pd1 Pd 0.2500 0.2500 0.2500 1
Rh1 Rh 0.2500 0.2500 0.7500 1

[4]
# K2BeCr | the Alexandria database | GGA-PBE | optimized geometry
# - N(E_F) (states/eV per atom) = 0.955
# - ΔE_f (eV/atom) = 0.98
data_K2BeCr
_symmetry_space_group_name_H-M 'I -4 2 d'
_symmetry_Int_Tables_number 122
_symmetry_space_group_name_Hall 'I -4 2bw'
_cell_length_a 12.1164
_cell_length_b 12.1164
_cell_length_c 4.7711
_cell_angle_alpha 90.00
_cell_angle_beta 90.00
_cell_angle_gamma 90.00
loop_
_atom_site_label
_atom_site_type_symbol
_atom_site_fract_x
_atom_site_fract_y
_atom_site_fract_z
_atom_site_occupancy
K1 K 0.0838 0.2500 0.1250 1
Be1 Be 0.0000 0.0000 0.0000 1
Cr1 Cr 0.0000 0.0000 0.5000 1

[5]
# Li8MgTl5 | the Alexandria database | GGA-PBE | optimized geometry
# - N(E_F) (states/eV per atom) = 0.253
# - ΔE_f (eV/atom) = -0.13
data_Li8MgTl5
_symmetry_space_group_name_H-M 'I -4'
_symmetry_Int_Tables_number 82
_symmetry_space_group_name_Hall 'I -4'
_cell_length_a 8.1733
_cell_length_b 8.1733
_cell_length_c 8.8890
_cell_angle_alpha 90.00
_cell_angle_beta 90.00
_cell_angle_gamma 90.00
loop_
_atom_site_label
_atom_site_type_symbol
_atom_site_fract_x
_atom_site_fract_y
_atom_site_fract_z
_atom_site_occupancy
Li1 Li 0.0761 0.1730 0.1517 1
Li2 Li 0.0956 0.3378 0.5096 1
Mg1 Mg 0.0000 0.0000 0.5000 1
Tl1 Tl 0.0000 0.5000 0.2500 1
Tl2 Tl 0.1298 0.2799 0.8357 1

[6]
# YMo2OsS | the Alexandria database | GGA-PBE | optimized geometry
# - N(E_F) (states/eV per atom) = 1.511
# - E_form (uncorrected) (eV/atom) = 2.91
data_YMo2OsS
_symmetry_space_group_name_H-M 'P 4/m m m'
_symmetry_Int_Tables_number 123
_symmetry_space_group_name_Hall '-P 4 2'
_cell_length_a 4.9347
_cell_length_b 4.9347
_cell_length_c 4.8510
_cell_angle_alpha 90.00
_cell_angle_beta 90.00
_cell_angle_gamma 90.00
loop_
_atom_site_label
_atom_site_type_symbol
_atom_site_fract_x
_atom_site_fract_y
_atom_site_fract_z
_atom_site_occupancy
Y1 Y 0.0000 0.0000 0.0000 1
Mo1 Mo 0.0000 0.5000 0.0000 1
Os1 Os 0.0000 0.0000 0.5000 1
S1 S 0.5000 0.5000 0.5000 1

[7]
# KIrW2Se8 | the Alexandria database | GGA-PBE | optimized geometry
# - E_form (uncorrected) (eV/atom) = -0.29
data_KIrW2Se8
_symmetry_space_group_name_H-M 'R -3'
_symmetry_Int_Tables_number 148
_symmetry_space_group_name_Hall '-R 3'
_cell_length_a 6.4268
_cell_length_b 6.4268
_cell_length_c 28.7193
_cell_angle_alpha 90.00
_cell_angle_beta 90.00
_cell_angle_gamma 120.00
loop_
_atom_site_label
_atom_site_type_symbol
_atom_site_fract_x
_atom_site_fract_y
_atom_site_fract_z
_atom_site_occupancy
K1 K 0.0000 0.0000 0.0000 1
Ir1 Ir 0.0000 0.0000 0.5000 1
W1 W 0.0000 0.0000 0.2422 1
Se1 Se 0.0000 0.0000 0.3228 1
Se2 Se 0.0133 0.6538 0.2191 1

[8]
# AlPt4 | the Alexandria database | GGA-PBE | optimized geometry
# - N(E_F) (states/eV per atom) = 1.134
# - ΔE_f (eV/atom) = -0.34
data_AlPt4
_symmetry_space_group_name_H-M 'P -4 21 c'
_symmetry_Int_Tables_number 114
_symmetry_space_group_name_Hall 'P -4 2n'
_cell_length_a 5.2222
_cell_length_b 5.2222
_cell_length_c 5.8132
_cell_angle_alpha 90.00
_cell_angle_beta 90.00
_cell_angle_gamma 90.00
loop_
_atom_site_label
_atom_site_type_symbol
_atom_site_fract_x
_atom_site_fract_y
_atom_site_fract_z
_atom_site_occupancy
Al1 Al 0.0000 0.0000 0.0000 1
Pt1 Pt 0.1061 0.2662 0.3481 1